First-principles (PBE-GGA) data for a relaxed structure of MnIrRu2, as listed in Alexandria via LeMat-Bulk.

abc: 3.788 3.788 7.594
angles: 90.00 90.00 90.00
Element x y z (fractional)
Mn 0.000 0.000 0.000
Mn 0.500 0.500 0.500
Ir 0.000 0.500 0.250
Ir 0.500 0.000 0.750
Ru 0.000 0.000 0.500
Ru 0.000 0.500 0.750
Ru 0.500 0.000 0.250
Ru 0.500 0.500 0.000

excess energy over the best structure of this formula in the dataset: 20 meV/atom
DFT total energy: -9.175 eV per atom
mass density: 13.7 g cm⁻³
N(E_F): 4.04 states/eV/f.u.

---

First-principles (PBE-GGA) data for a relaxed structure of YHgIr2, as listed in Alexandria via LeMat-Bulk.

abc: 3.488 3.488 6.606
angles: 90.00 90.00 90.00
Element x y z (fractional)
Y 0.000 0.000 0.000
Hg 0.500 0.500 0.306
Ir 0.000 0.000 0.586
Ir 0.500 0.500 0.728

DFT total energy: -6.157 eV per atom
mass density: 13.9 g cm⁻³
N(E_F): 5.19 states/eV/f.u.

---

First-principles (PBE-GGA) data for a relaxed structure of CaZrNi2, as listed in Alexandria via LeMat-Bulk.

abc: 4.730 4.730 3.160
angles: 90.00 90.00 90.00
Element x y z (fractional)
Ca 0.000 0.000 0.000
Zr 0.500 0.500 0.000
Ni 0.000 0.500 0.500
Ni 0.500 0.000 0.500

DFT total energy: -5.660 eV per atom
mass density: 5.8 g cm⁻³
N(E_F): 3.11 states/eV/f.u.

---

First-principles (PBE-GGA) data for a relaxed structure of Ta3RePd, as listed in Alexandria via LeMat-Bulk.

abc: 4.817 4.817 4.817
angles: 90.00 90.00 90.00
Element x y z (fractional)
Ta 0.000 0.000 0.500
Ta 0.000 0.500 0.000
Ta 0.500 0.000 0.000
Re 0.000 0.000 0.000
Pd 0.500 0.500 0.500

excess energy over the best structure of this formula in the dataset: 0 meV/atom
DFT total energy: -9.370 eV per atom
mass density: 12.4 g cm⁻³
N(E_F): 4.25 states/eV/f.u.

---

- mass density of number 3 (CaZrNi2)?
  5.8 g cm⁻³

---

- Which of these has the lowest DFT total energy?
  Ta3RePd